<a>
## KW2Cl (PBE)

Data for KW2Cl after structural relaxation.

total magnetic moment	0.00	μB/cell
DOS(E_F)	1.6	states/eV/f.u.

The structure in CIF format:
```
data_KW2Cl
_chemical_formula_sum 'K2 W4 Cl2'
_symmetry_space_group_name_H-M 'A m m 2'
_symmetry_Int_Tables_number 38
_symmetry_space_group_name_Hall 'A 2 -2'
_cell_length_a 3.213
_cell_length_b 3.379
_cell_length_c 16.669
_cell_angle_alpha 90.00
_cell_angle_beta 90.00
_cell_angle_gamma 90.00
loop_
_atom_site_label
_atom_site_type_symbol
_atom_site_fract_x
_atom_site_fract_y
_atom_site_fract_z
K1 K 0.000 0.000 0.000
W1 W 0.000 0.000 0.755
W2 W 0.500 0.000 0.324
Cl1 Cl 0.500 0.000 0.622
```

=====

<b>
## KW2Cl (PBE)

Data for KW2Cl after structural relaxation.

total magnetic moment	0.00	μB/cell
DOS(E_F)	4.3	states/eV/f.u.

The structure in CIF format:
```
data_KW2Cl
_chemical_formula_sum 'K1 W2 Cl1'
_symmetry_space_group_name_H-M 'P 4/m m m'
_symmetry_Int_Tables_number 123
_symmetry_space_group_name_Hall '-P 4 2'
_cell_length_a 2.769
_cell_length_b 2.769
_cell_length_c 10.361
_cell_angle_alpha 90.00
_cell_angle_beta 90.00
_cell_angle_gamma 90.00
loop_
_atom_site_label
_atom_site_type_symbol
_atom_site_fract_x
_atom_site_fract_y
_atom_site_fract_z
K1 K 0.000 0.000 0.000
W1 W 0.500 0.500 0.296
Cl1 Cl 0.000 0.000 0.500
```

=====

<c>
## KW2Cl (PBE)

Data for KW2Cl after structural relaxation.

total magnetic moment	0.02	μB/cell
DOS(E_F)	1.9	states/eV/f.u.

The structure in CIF format:
```
data_KW2Cl
_chemical_formula_sum 'K4 W8 Cl4'
_symmetry_space_group_name_H-M 'F -4 3 m'
_symmetry_Int_Tables_number 216
_symmetry_space_group_name_Hall 'F -4 2 3'
_cell_length_a 6.708
_cell_length_b 6.708
_cell_length_c 6.708
_cell_angle_alpha 90.00
_cell_angle_beta 90.00
_cell_angle_gamma 90.00
loop_
_atom_site_label
_atom_site_type_symbol
_atom_site_fract_x
_atom_site_fract_y
_atom_site_fract_z
K1 K 0.000 0.000 0.000
W1 W 0.000 0.000 0.500
W2 W 0.250 0.250 0.250
Cl1 Cl 0.250 0.250 0.750
```

=====

<d>
## KW2Cl (PBE)

Data for KW2Cl after structural relaxation.

total magnetic moment	0.00	μB/cell
DOS(E_F)	3.0	states/eV/f.u.

The structure in CIF format:
```
data_KW2Cl
_chemical_formula_sum 'K2 W4 Cl2'
_symmetry_space_group_name_H-M 'C m m m'
_symmetry_Int_Tables_number 65
_symmetry_space_group_name_Hall '-C 2 2'
_cell_length_a 2.826
_cell_length_b 5.178
_cell_length_c 10.720
_cell_angle_alpha 90.00
_cell_angle_beta 90.00
_cell_angle_gamma 90.00
loop_
_atom_site_label
_atom_site_type_symbol
_atom_site_fract_x
_atom_site_fract_y
_atom_site_fract_z
K1 K 0.000 0.000 0.000
W1 W 0.000 0.500 0.294
Cl1 Cl 0.000 0.000 0.500
```

=====

Stability order, top to bottom: <a>, <d>, <c>, <b>